# 1
A plane-wave DFT calculation with PBE was carried out for crystalline LiAgGeIr at its relaxed geometry.

Properties
The total energy comes out at -18.82 eV/f.u.

```
LiAgGeIr
1.0
-3.303 1.189 2.552
-3.978 0.463 -1.673
-3.116 -2.855 0.988
Ge Ir Ag Li
1 1 1 1
Direct
0.250 0.250 0.250 Ge
0.000 0.000 0.000 Ir
0.500 0.500 0.500 Ag
0.750 0.750 0.750 Li
```



# 2
A plane-wave DFT calculation with PBE was carried out for crystalline PmScHg2 at its relaxed geometry.

Properties
For the energy above the most stable polymorph in this dataset, the calculation gives 16.6 meV per atom.

```
PmScHg2
1.0
5.204 0.000 0.000
2.602 4.507 0.000
2.602 1.502 4.249
Sc Hg Pm
1 2 1
Direct
0.500 0.500 0.500 Sc
0.250 0.250 0.250 Hg
0.750 0.750 0.750 Hg
0.000 0.000 0.000 Pm
```



# 3
A plane-wave DFT calculation with PBE was carried out for crystalline NaInAu at its relaxed geometry.

Properties
The total energy comes out at -8.03 eV/f.u.

```
NaInAu
1.0
4.776 0.000 0.000
2.388 4.136 0.000
2.388 1.379 3.900
Na Au In
1 1 1
Direct
0.500 0.500 0.500 Na
0.250 0.250 0.250 Au
0.000 0.000 0.000 In
```



# 4
A plane-wave DFT calculation with PBE was carried out for crystalline Cu5Sn at its relaxed geometry.

Properties
The total energy comes out at -24.30 eV/f.u.

```
Cu5Sn
1.0
3.830 0.000 0.000
0.000 3.888 0.000
0.000 -1.944 5.514
Sn Cu
1 5
Direct
0.000 0.000 0.000 Sn
0.000 0.672 0.345 Cu
0.000 0.328 0.655 Cu
0.500 0.500 0.000 Cu
0.500 0.176 0.351 Cu
0.500 0.824 0.649 Cu
```



Question: Number 3 is which compound?
Answer: NaInAu